Arrangement w

VASP calculation (GGA-PBE) on a geometry-optimized ZrTi2Os2 structure.

Results
The magnetization comes out at 0.000 μB/f.u. For the density of states at the Fermi level, the calculation gives 1.372 states/eV per atom.

Lattice parameters (Å, degrees): 4.065 4.065 11.094 90.00 90.00 90.00
Space group I4/mmm (No. 139)
One atom of each set of equivalent atoms:
Zr: 0.000 0.000 0.000
Ti: 0.000 0.500 0.250
Os: 0.000 0.000 0.387


Arrangement x

VASP calculation (GGA-PBE) on a geometry-optimized ZrTi2Os2 structure.

Results
The magnetization comes out at 0.014 μB/f.u. For the density of states at the Fermi level, the calculation gives 1.199 states/eV per atom.

Lattice parameters (Å, degrees): 7.650 7.650 2.860 90.00 90.00 90.00
Space group P4/mbm (No. 127)
One atom of each set of equivalent atoms:
Zr: 0.000 0.000 0.000
Ti: 0.136 0.364 0.000
Os: 0.161 0.661 0.500


Arrangement y

VASP calculation (GGA-PBE) on a geometry-optimized ZrTi2Os2 structure.

Results
The magnetization comes out at 0.000 μB/f.u. For the density of states at the Fermi level, the calculation gives 1.352 states/eV per atom.

Lattice parameters (Å, degrees): 7.459 7.459 3.060 90.00 90.00 90.00
Space group P4/mbm (No. 127)
One atom of each set of equivalent atoms:
Zr: 0.000 0.000 0.000
Ti: 0.148 0.352 0.500
Os: 0.145 0.645 0.000


Name the most stable of them. arrangement y.